5
Lattice="5.552 0.000 0.000 0.000 5.552 0.000 0.000 0.000 5.401" Properties=species:S:1:pos:R:3 comment="YHgAs2Se (PBE-GGA, optimized geometry)" de_polymorph_ev_per_atom=0.000 n_ef_per_ev_fu=5.1 rho_g_cm3=5.17 total_energy_ev_per_cell=-18.8 pbc="T T T"
Y 0.000 0.000 0.000
Hg 2.776 2.776 2.701
As 0.000 2.776 0.000
As 2.776 0.000 0.000
Se 0.000 0.000 2.701

---

5
Lattice="4.917 0.000 0.000 0.000 4.917 0.000 0.000 0.000 4.987" Properties=species:S:1:pos:R:3 comment="ZnHgAs2Se (PBE-GGA, optimized geometry)" de_polymorph_ev_per_atom=0.000 n_ef_per_ev_fu=5.7 rho_g_cm3=6.81 total_energy_ev_per_cell=-11.2 pbc="T T T"
Zn 0.000 0.000 0.000
Hg 2.459 2.459 2.494
As 0.000 2.459 0.000
As 2.459 0.000 0.000
Se 0.000 0.000 2.494

---

5
Lattice="5.292 0.000 0.000 0.000 5.292 0.000 0.000 0.000 5.269" Properties=species:S:1:pos:R:3 comment="ZnHgAsSe2 (PBE-GGA, optimized geometry)" de_polymorph_ev_per_atom=0.374 n_ef_per_ev_fu=6.5 rho_g_cm3=5.61 total_energy_ev_per_cell=-8.7 pbc="T T T"
Zn 0.000 0.000 0.000
Hg 2.646 2.646 2.635
As 2.646 2.646 0.000
Se 0.000 2.646 2.635
Se 2.646 0.000 2.635

---

5
Lattice="5.053 0.000 0.000 0.000 5.053 0.000 0.000 0.000 4.807" Properties=species:S:1:pos:R:3 comment="ZnHgAsSe2 (PBE-GGA, optimized geometry)" de_polymorph_ev_per_atom=0.000 n_ef_per_ev_fu=5.7 rho_g_cm3=6.75 total_energy_ev_per_cell=-10.6 pbc="T T T"
Zn 0.000 0.000 0.000
Hg 2.527 2.527 2.404
As 0.000 0.000 2.404
Se 0.000 2.527 0.000
Se 2.527 0.000 0.000